a | Compound: Os3RuC
Source: the Alexandria database
Functional: PBE
Structure: optimized geometry

Cell lengths 4.638, 4.638, 4.638 Å; angles 90.00, 90.00, 90.00 degrees
Atoms (fractional coordinates):
Os  0.000  0.000  0.500
Os  0.000  0.500  0.000
Os  0.500  0.000  0.000
Ru  0.000  0.000  0.000
C  0.500  0.500  0.500

**N(E_F)**: 8.3 states/eV/cell
**ρ**: 11.38 Mg/m³
**Total magnetization**: 0.00 μB/cell
**Crystal system**: cubic

b | Compound: Os3RuC
Source: the Alexandria database
Functional: PBE
Structure: optimized geometry

Cell lengths 4.034, 4.034, 4.034 Å; angles 90.00, 90.00, 90.00 degrees
Atoms (fractional coordinates):
Os  0.000  0.000  0.500
Os  0.000  0.500  0.000
Os  0.500  0.000  0.000
Ru  0.500  0.500  0.500
C  0.000  0.000  0.000

**N(E_F)**: 5.0 states/eV/cell
**ρ**: 17.29 Mg/m³
**Total magnetization**: 0.00 μB/cell
**Crystal system**: cubic

b (3062 meV per atom below the next structure)

a | Compound: OsRu2C2
Source: the Alexandria database
Functional: PBE
Structure: optimized geometry

Cell lengths 6.213, 6.213, 2.790 Å; angles 90.00, 90.00, 90.00 degrees
Atoms (fractional coordinates):
Os  0.000  0.000  0.000
Os  0.500  0.500  0.000
Ru  0.151  0.349  0.500
Ru  0.349  0.849  0.500
Ru  0.651  0.151  0.500
Ru  0.849  0.651  0.500
C  0.176  0.676  0.000
C  0.324  0.176  0.000
C  0.676  0.824  0.000
C  0.824  0.324  0.000

**N(E_F)**: 11.2 states/eV/cell
**ρ**: 12.84 Mg/m³
**Total magnetization**: 0.00 μB/cell
**Crystal system**: tetragonal

b | Compound: OsRu2C2
Source: the Alexandria database
Functional: PBE
Structure: optimized geometry

Cell lengths 4.697, 4.697, 4.697 Å; angles 132.70, 132.70, 69.12 degrees
Atoms (fractional coordinates):
Os  0.000  0.000  0.000
Ru  0.250  0.750  0.500
Ru  0.750  0.250  0.500
C  0.403  0.403  0.000
C  0.597  0.597  0.000

**N(E_F)**: 5.2 states/eV/cell
**ρ**: 12.59 Mg/m³
**Total magnetization**: 0.00 μB/cell
**Crystal system**: tetragonal

b (48 meV per atom below the next structure)

a | Compound: OsCS3
Source: the Alexandria database
Functional: PBE
Structure: optimized geometry

Cell lengths 4.596, 4.596, 4.596 Å; angles 90.00, 90.00, 90.00 degrees
Atoms (fractional coordinates):
Os  0.000  0.000  0.000
C  0.500  0.500  0.500
S  0.000  0.000  0.500
S  0.000  0.500  0.000
S  0.500  0.000  0.000

**N(E_F)**: 6.2 states/eV/cell
**ρ**: 5.11 Mg/m³
**Total magnetization**: 1.44 μB/cell
**Crystal system**: cubic

b | Compound: OsCS3
Source: the Alexandria database
Functional: PBE
Structure: optimized geometry

Cell lengths 3.964, 3.964, 3.964 Å; angles 90.00, 90.00, 90.00 degrees
Atoms (fractional coordinates):
Os  0.000  0.000  0.000
C  0.500  0.500  0.500
S  0.000  0.500  0.500
S  0.500  0.000  0.500
S  0.500  0.500  0.000

**N(E_F)**: 3.3 states/eV/cell
**ρ**: 7.95 Mg/m³
**Total magnetization**: 0.00 μB/cell
**Crystal system**: cubic

b (352 meV per atom below the next structure)

a | Compound: SbOs3C
Source: the Alexandria database
Functional: PBE
Structure: optimized geometry

Cell lengths 4.851, 4.851, 4.851 Å; angles 90.00, 90.00, 90.00 degrees
Atoms (fractional coordinates):
Sb  0.000  0.000  0.000
Os  0.000  0.000  0.500
Os  0.000  0.500  0.000
Os  0.500  0.000  0.000
C  0.500  0.500  0.500

**N(E_F)**: 2.6 states/eV/cell
**ρ**: 10.25 Mg/m³
**Total magnetization**: 2.92 μB/cell
**Crystal system**: cubic

b | Compound: SbOs3C
Source: the Alexandria database
Functional: PBE
Structure: optimized geometry

Cell lengths 4.152, 4.152, 4.152 Å; angles 90.00, 90.00, 90.00 degrees
Atoms (fractional coordinates):
Sb  0.000  0.000  0.000
Os  0.000  0.500  0.500
Os  0.500  0.000  0.500
Os  0.500  0.500  0.000
C  0.500  0.500  0.500

**N(E_F)**: 4.8 states/eV/cell
**ρ**: 16.34 Mg/m³
**Total magnetization**: 0.00 μB/cell
**Crystal system**: cubic

b (3123 meV per atom below the next structure)

a | Compound: ScOs2C2
Source: the Alexandria database
Functional: PBE
Structure: optimized geometry

Cell lengths 6.397, 6.397, 2.849 Å; angles 90.00, 90.00, 90.00 degrees
Atoms (fractional coordinates):
Sc  0.000  0.000  0.000
Sc  0.500  0.500  0.000
Os  0.157  0.343  0.500
Os  0.343  0.843  0.500
Os  0.657  0.157  0.500
Os  0.843  0.657  0.500
C  0.176  0.676  0.000
C  0.324  0.176  0.000
C  0.676  0.824  0.000
C  0.824  0.324  0.000

**N(E_F)**: 7.9 states/eV/cell
**ρ**: 12.80 Mg/m³
**Total magnetization**: 0.00 μB/cell
**Crystal system**: tetragonal

b | Compound: ScOs2C2
Source: the Alexandria database
Functional: PBE
Structure: optimized geometry

Cell lengths 5.210, 5.210, 5.210 Å; angles 136.94, 136.94, 62.53 degrees
Atoms (fractional coordinates):
Sc  0.000  0.000  0.000
Os  0.250  0.750  0.500
Os  0.750  0.250  0.500
C  0.349  0.349  0.000
C  0.651  0.651  0.000

**N(E_F)**: 1.8 states/eV/cell
**ρ**: 11.46 Mg/m³
**Total magnetization**: 0.00 μB/cell
**Crystal system**: tetragonal

b (378 meV per atom below the next structure)

a | Compound: Os2CSe
Source: the Alexandria database
Functional: PBE
Structure: optimized geometry

Cell lengths 4.153, 4.153, 4.153 Å; angles 60.00, 60.00, 60.00 degrees
Atoms (fractional coordinates):
Os  0.250  0.250  0.250
Os  0.750  0.750  0.750
C  0.000  0.000  0.000
Se  0.500  0.500  0.500

**N(E_F)**: 2.7 states/eV/cell
**ρ**: 15.46 Mg/m³
**Total magnetization**: 0.00 μB/cell
**Crystal system**: cubic

b | Compound: Os2CSe
Source: the Alexandria database
Functional: PBE
Structure: optimized geometry

Cell lengths 6.178, 6.178, 6.178 Å; angles 131.98, 131.98, 70.26 degrees
Atoms (fractional coordinates):
Os  0.050  0.625  0.925
Os  0.375  0.300  0.425
Os  0.700  0.125  0.075
Os  0.875  0.950  0.575
C  0.000  0.000  0.000
C  0.750  0.250  0.500
Se  0.250  0.750  0.500
Se  0.500  0.500  0.000

**N(E_F)**: 3.7 states/eV/cell
**ρ**: 12.26 Mg/m³
**Total magnetization**: 0.00 μB/cell
**Crystal system**: tetragonal

b (828 meV per atom below the next structure)

a | Compound: OsC3Se
Source: the Alexandria database
Functional: PBE
Structure: optimized geometry

Cell lengths 3.810, 3.810, 3.810 Å; angles 90.00, 90.00, 90.00 degrees
Atoms (fractional coordinates):
Os  0.000  0.000  0.000
C  0.000  0.500  0.500
C  0.500  0.000  0.500
C  0.500  0.500  0.000
Se  0.500  0.500  0.500

**N(E_F)**: 5.7 states/eV/cell
**ρ**: 9.16 Mg/m³
**Total magnetization**: 0.00 μB/cell
**Crystal system**: cubic

b | Compound: OsC3Se
Source: the Alexandria database
Functional: PBE
Structure: optimized geometry

Cell lengths 4.051, 4.051, 4.051 Å; angles 90.00, 90.00, 90.00 degrees
Atoms (fractional coordinates):
Os  0.000  0.000  0.000
C  0.000  0.000  0.500
C  0.000  0.500  0.000
C  0.500  0.000  0.000
Se  0.500  0.500  0.500

**N(E_F)**: 2.3 states/eV/cell
**ρ**: 7.63 Mg/m³
**Total magnetization**: 0.00 μB/cell
**Crystal system**: cubic

b (1105 meV per atom below the next structure)

a | Compound: SiOsC3
Source: the Alexandria database
Functional: PBE
Structure: optimized geometry

Cell lengths 4.001, 4.001, 4.001 Å; angles 90.00, 90.00, 90.00 degrees
Atoms (fractional coordinates):
Si  0.000  0.000  0.000
Os  0.500  0.500  0.500
C  0.000  0.500  0.500
C  0.500  0.000  0.500
C  0.500  0.500  0.000

**N(E_F)**: 4.0 states/eV/cell
**ρ**: 6.60 Mg/m³
**Total magnetization**: 0.00 μB/cell
**Crystal system**: cubic

b | Compound: SiOsC3
Source: the Alexandria database
Functional: PBE
Structure: optimized geometry

Cell lengths 3.704, 3.704, 3.704 Å; angles 90.00, 90.00, 90.00 degrees
Atoms (fractional coordinates):
Si  0.000  0.000  0.000
Os  0.500  0.500  0.500
C  0.000  0.000  0.500
C  0.000  0.500  0.000
C  0.500  0.000  0.000

**N(E_F)**: 3.2 states/eV/cell
**ρ**: 8.31 Mg/m³
**Total magnetization**: 0.00 μB/cell
**Crystal system**: cubic

a (236 meV per atom below the next structure)

a | Compound: Sm2OsC2
Source: the Alexandria database
Functional: PBE
Structure: optimized geometry

Cell lengths 8.260, 6.425, 6.531 Å; angles 90.00, 100.09, 90.00 degrees
Atoms (fractional coordinates):
Sm  0.044  0.246  0.039
Sm  0.044  0.254  0.539
Sm  0.336  0.604  0.866
Sm  0.336  0.896  0.366
Sm  0.664  0.104  0.634
Sm  0.664  0.396  0.134
Sm  0.956  0.746  0.461
Sm  0.956  0.754  0.961
Os  0.356  0.094  0.871
Os  0.356  0.406  0.371
Os  0.644  0.594  0.629
Os  0.644  0.906  0.129
C  0.155  0.576  0.232
C  0.155  0.924  0.732
C  0.375  0.236  0.134
C  0.375  0.264  0.634
C  0.625  0.736  0.366
C  0.625  0.764  0.866
C  0.845  0.076  0.268
C  0.845  0.424  0.768

**N(E_F)**: 7.3 states/eV/cell
**ρ**: 10.02 Mg/m³
**Total magnetization**: 0.00 μB/cell
**Crystal system**: monoclinic

b | Compound: Sm2OsC2
Source: the Alexandria database
Functional: PBE
Structure: optimized geometry

Cell lengths 6.517, 5.299, 10.029 Å; angles 90.00, 90.00, 90.00 degrees
Atoms (fractional coordinates):
Sm  0.021  0.250  0.220
Sm  0.192  0.250  0.549
Sm  0.308  0.750  0.049
Sm  0.479  0.750  0.720
Sm  0.521  0.250  0.280
Sm  0.692  0.250  0.951
Sm  0.808  0.750  0.451
Sm  0.979  0.750  0.780
Os  0.232  0.250  0.861
Os  0.268  0.750  0.361
Os  0.732  0.250  0.639
Os  0.768  0.750  0.139
C  0.030  0.750  0.243
C  0.182  0.750  0.545
C  0.318  0.250  0.045
C  0.470  0.250  0.743
C  0.530  0.750  0.257
C  0.682  0.750  0.955
C  0.818  0.250  0.455
C  0.970  0.250  0.757

**N(E_F)**: 8.1 states/eV/cell
**ρ**: 9.88 Mg/m³
**Total magnetization**: 0.00 μB/cell
**Crystal system**: orthorhombic

b (175 meV per atom below the next structure)

a | Compound: SnOs2C
Source: the Alexandria database
Functional: PBE
Structure: optimized geometry

Cell lengths 6.041, 6.041, 6.041 Å; angles 125.70, 125.70, 80.39 degrees
Atoms (fractional coordinates):
Sn  0.000  0.000  0.000
Sn  0.750  0.250  0.500
Os  0.237  0.625  0.112
Os  0.375  0.487  0.612
Os  0.513  0.125  0.888
Os  0.875  0.763  0.388
C  0.250  0.750  0.500
C  0.500  0.500  0.000

**N(E_F)**: 4.2 states/eV/cell
**ρ**: 12.10 Mg/m³
**Total magnetization**: 0.00 μB/cell
**Crystal system**: tetragonal

b | Compound: SnOs2C
Source: the Alexandria database
Functional: PBE
Structure: optimized geometry

Cell lengths 4.322, 4.322, 4.322 Å; angles 60.00, 60.00, 60.00 degrees
Atoms (fractional coordinates):
Sn  0.000  0.000  0.000
Os  0.250  0.250  0.250
Os  0.750  0.750  0.750
C  0.500  0.500  0.500

**N(E_F)**: 3.3 states/eV/cell
**ρ**: 14.87 Mg/m³
**Total magnetization**: 0.00 μB/cell
**Crystal system**: cubic

a (773 meV per atom below the next structure)

a | Compound: SrOsC2
Source: the Alexandria database
Functional: PBE
Structure: optimized geometry

Cell lengths 6.790, 6.790, 6.790 Å; angles 137.34, 137.34, 61.92 degrees
Atoms (fractional coordinates):
Sr  0.375  0.625  0.750
Sr  0.625  0.375  0.250
Os  0.125  0.875  0.250
Os  0.875  0.125  0.750
C  0.000  0.000  0.000
C  0.000  0.000  0.500
C  0.000  0.500  0.000
C  0.500  0.000  0.500

**N(E_F)**: 0.3 states/eV/cell
**ρ**: 7.05 Mg/m³
**Total magnetization**: 0.00 μB/cell
**Crystal system**: tetragonal

b | Compound: SrOsC2
Source: the Alexandria database
Functional: PBE
Structure: optimized geometry

Cell lengths 4.164, 4.164, 4.164 Å; angles 60.00, 60.00, 60.00 degrees
Atoms (fractional coordinates):
Sr  0.000  0.000  0.000
Os  0.500  0.500  0.500
C  0.250  0.250  0.250
C  0.750  0.750  0.750

**N(E_F)**: 1.6 states/eV/cell
**ρ**: 9.82 Mg/m³
**Total magnetization**: 0.00 μB/cell
**Crystal system**: cubic

a (1474 meV per atom below the next structure)

a | Compound: SrOsC
Source: the Alexandria database
Functional: PBE
Structure: optimized geometry

Cell lengths 3.517, 3.517, 4.949 Å; angles 90.00, 90.00, 120.00 degrees
Atoms (fractional coordinates):
Sr  0.000  0.000  0.000
Os  0.667  0.333  0.500
C  0.333  0.667  0.500

**N(E_F)**: 1.6 states/eV/cell
**ρ**: 9.08 Mg/m³
**Total magnetization**: 0.00 μB/cell
**Crystal system**: hexagonal

b | Compound: SrOsC
Source: the Alexandria database
Functional: PBE
Structure: optimized geometry

Cell lengths 3.851, 3.851, 8.806 Å; angles 90.00, 90.00, 90.00 degrees
Atoms (fractional coordinates):
Sr  0.250  0.250  0.205
Sr  0.750  0.750  0.795
Os  0.250  0.750  0.500
Os  0.750  0.250  0.500
C  0.250  0.250  0.596
C  0.750  0.750  0.404

**N(E_F)**: 4.0 states/eV/cell
**ρ**: 7.37 Mg/m³
**Total magnetization**: 0.00 μB/cell
**Crystal system**: tetragonal

a (29 meV per atom below the next structure)